DFT (PBE with a Hubbard U) results for a relaxed structure of NaMoO2.

Geometry as POSCAR:
```
NaMoO2
1.0
1.644 0.949 6.407
-1.644 0.949 6.407
0.000 -1.898 6.407
Na Mo O
1 1 2
Cartesian
0.000 0.000 0.000
0.000 0.000 9.610
0.000 0.000 7.789
0.000 0.000 11.431
```

## Properties
ΔE to the lowest computed polymorph: 2.54 eV per formula unit
Calculated volume: 14.99 Å³ per atom
Total moment: 1.7 μB per formula unit